# 1
The following is a PBE calculation of a relaxed CeAs6 crystal, from the Alexandria database.

a b c (Å): 6.343 6.343 6.343
angles (deg): 109.47 109.47 109.47
Each line ends with the local moment (μB).
Sites, in units of the cell vectors:
Ce (0.000, 0.000, 0.000)  1.38
As (0.250, 0.750, 0.500)  0.02
As (0.500, 0.750, 0.250)  0.02
As (0.250, 0.500, 0.750)  0.02
As (0.750, 0.250, 0.500)  0.02
As (0.500, 0.250, 0.750)  0.02
As (0.750, 0.500, 0.250)  0.02

Summary:
M_tot: 2.0 μB/f.u.
Fermi-level density of states: 2.052 states/eV/atom
Formation enthalpy at 0 K: 0.30 eV per atom

***

# 2
The following is a PBE calculation of a relaxed Ce4As3 crystal, from the Alexandria database.

a b c (Å): 7.697 7.697 7.697
angles (deg): 109.47 109.47 109.47
Each line ends with the local moment (μB).
Sites, in units of the cell vectors:
Ce (0.141, 0.141, 0.141)  0.71
Ce (0.500, 0.000, 0.859)  0.71
Ce (0.859, 0.500, 0.000)  0.71
Ce (0.000, 0.859, 0.500)  0.71
Ce (0.359, 0.500, 0.000)  0.71
Ce (0.000, 0.359, 0.500)  0.71
Ce (0.500, 0.000, 0.359)  0.71
Ce (0.641, 0.641, 0.641)  0.71
As (0.625, 0.375, 0.250)  -0.02
As (0.250, 0.625, 0.375)  -0.02
As (0.750, 0.875, 0.125)  -0.02
As (0.125, 0.750, 0.875)  -0.02
As (0.375, 0.250, 0.625)  -0.02
As (0.875, 0.125, 0.750)  -0.02

Summary:
M_tot: 3.4 μB/f.u.
Fermi-level density of states: 2.945 states/eV/atom
Formation enthalpy at 0 K: -1.19 eV per atom
Energy above the most stable polymorph in this dataset: 0.0 meV per atom

***

# 3
The following is a PBE calculation of a relaxed Ce4As crystal, from the Alexandria database.

a b c (Å): 5.582 5.582 5.582
angles (deg): 90.00 90.00 90.00
Each line ends with the local moment (μB).
Sites, in units of the cell vectors:
As (0.500, 0.500, 0.500)  -0.02
Ce (0.000, 0.000, 0.000)  1.13
Ce (0.500, 0.000, 0.500)  0.73
Ce (0.000, 0.500, 0.500)  0.73
Ce (0.500, 0.500, 0.000)  0.73

Summary:
M_tot: 4.5 μB/f.u.
Fermi-level density of states: 4.729 states/eV/atom
Formation enthalpy at 0 K: -0.08 eV per atom

***

# 4
The following is a PBE calculation of a relaxed Ce2AsCl crystal, from the Alexandria database.

a b c (Å): 4.046 4.046 7.784
angles (deg): 74.94 74.94 60.00
Each line ends with the local moment (μB).
Sites, in units of the cell vectors:
Ce (0.077, 0.077, 0.770)  0.90
Ce (0.257, 0.257, 0.228)  0.98
As (0.668, 0.668, 0.997)  -0.03
Cl (0.498, 0.498, 0.506)  -0.01

Summary:
M_tot: 2.3 μB/f.u.
Fermi-level density of states: 2.824 states/eV/atom
Total energy: -23.91 eV per cell

***

# 5
The following is a PBE calculation of a relaxed Ce5As4Cl crystal, from the Alexandria database.

a b c (Å): 4.212 5.931 11.075
angles (deg): 105.53 100.96 90.00
Each line ends with the local moment (μB).
Sites, in units of the cell vectors:
Ce (0.601, 0.101, 0.203)  0.80
Ce (0.800, 0.300, 0.600)  0.63
Ce (0.200, 0.700, 0.400)  0.63
Ce (0.000, 0.500, 0.000)  0.80
Ce (0.399, 0.899, 0.797)  0.80
As (0.401, 0.401, 0.802)  -0.03
As (0.801, 0.801, 0.602)  -0.03
As (0.199, 0.199, 0.398)  -0.03
As (0.599, 0.599, 0.198)  -0.03
Cl (0.000, 0.000, 0.000)  -0.01

Summary:
M_tot: 4.2 μB/f.u.
Fermi-level density of states: 2.748 states/eV/atom
Total energy: -64.68 eV per cell

***

# 6
The following is a PBE calculation of a relaxed Ce2AsCl crystal, from the Alexandria database.

a b c (Å): 5.113 5.113 5.113
angles (deg): 60.00 60.00 60.00
Each line ends with the local moment (μB).
Sites, in units of the cell vectors:
As (0.500, 0.500, 0.500)  -0.05
Ce (0.250, 0.250, 0.250)  1.25
Ce (0.750, 0.750, 0.750)  1.25
Cl (0.000, 0.000, 0.000)  -0.02

Summary:
M_tot: 3.3 μB/f.u.
Fermi-level density of states: 3.090 states/eV/atom
Total energy: -23.41 eV per cell